(1)
Here is SrRu2Pt after structural relaxation from Alexandria. Energies are from PBE-GGA.

Output
Formation energy from the elements = 0.275 eV per atom
Polymorph energy (0 for the lowest one) = 202 meV/atom
Calculated total energy = -25.17 eV per cell
Space-group type = Pm, No. 6

Lattice parameters (Å, degrees): 2.832 4.260 6.483 90.00 102.46 90.00
Positions (direct):
Sr: 0.000 0.000 0.000
Ru: 0.319 0.500 0.642
Ru: 0.758 0.000 0.520
Pt: 0.634 0.500 0.269



(2)
Here is MgSiBr2 after structural relaxation from Alexandria. Energies are from PBE-GGA.

Output
E_form (uncorrected) = -0.306 eV per atom
Polymorph energy (0 for the lowest one) = 49 meV/atom
Calculated total energy = -11.59 eV per cell
Space-group type = C2/m, No. 12

Lattice parameters (Å, degrees): 7.535 7.535 4.919 101.47 101.47 27.18
Positions (direct):
Mg: 0.000 0.000 0.000
Si: 0.500 0.500 0.500
Br: 0.366 0.366 0.813
Br: 0.634 0.634 0.187



(3)
Here is MgTlPb2 after structural relaxation from Alexandria. Energies are from PBE-GGA.

Output
Formation energy from the elements = -0.040 eV per atom
Calculated total energy = -11.54 eV per cell
Space-group type = P4/mmm, No. 123

Lattice parameters (Å, degrees): 3.589 3.589 8.916 90.00 90.00 90.00
Positions (direct):
Mg: 0.000 0.000 0.000
Tl: 0.000 0.000 0.500
Pb: 0.500 0.500 0.220
Pb: 0.500 0.500 0.780



(4)
Here is YCd5Ag after structural relaxation from Alexandria. Energies are from PBE-GGA.

Output
Formation energy from the elements = -0.178 eV per atom
Calculated total energy = -15.14 eV per cell
Space-group type = P4/mmm, No. 123

Lattice parameters (Å, degrees): 4.797 4.797 7.254 90.00 90.00 90.00
Positions (direct):
Y: 0.000 0.000 0.000
Cd: 0.000 0.500 0.287
Cd: 0.000 0.500 0.713
Cd: 0.500 0.000 0.287
Cd: 0.500 0.000 0.713
Cd: 0.500 0.500 0.000
Ag: 0.000 0.000 0.500



(5)
Here is Pm2BeSi4Pt3 after structural relaxation from Alexandria. Energies are from PBE-GGA.

Output
E_form (uncorrected) = -0.964 eV per atom
Calculated total energy = -62.68 eV per cell
Space-group type = P-4m2, No. 115

Lattice parameters (Å, degrees): 4.182 4.182 9.965 90.00 90.00 90.00
Positions (direct):
Pm: 0.000 0.500 0.247
Pm: 0.500 0.000 0.753
Be: 0.500 0.500 0.000
Si: 0.000 0.000 0.500
Si: 0.000 0.500 0.870
Si: 0.500 0.000 0.130
Si: 0.500 0.500 0.500
Pt: 0.000 0.000 0.000
Pt: 0.000 0.500 0.624
Pt: 0.500 0.000 0.376



(6)
Here is MgScCu2 after structural relaxation from Alexandria. Energies are from PBE-GGA.

Output
Formation energy from the elements = -0.027 eV per atom
Calculated total energy = -16.23 eV per cell
Space-group type = F-43m, No. 216

Lattice parameters (Å, degrees): 4.499 4.499 4.499 60.00 60.00 60.00
Positions (direct):
Mg: 0.000 0.000 0.000
Sc: 0.750 0.750 0.750
Cu: 0.250 0.250 0.250
Cu: 0.500 0.500 0.500